The following is a GGA+U calculation of an optimized crystal structure of CdFe2F, from Alexandria.

Output
* calculated density: 6.18 g/cm³
* spin magnetization: 6.29 μB per formula unit
* energy above the lowest structure with this stoichiometry: 313 meV per atom

abc: 4.520 4.520 4.520
angles: 60.00 60.00 60.00
Fractional coordinates of all 4 atoms:
F  0.000  0.000  0.000
Fe  0.250  0.250  0.250
Fe  0.750  0.750  0.750
Cd  0.500  0.500  0.500